Entry 1:
A plane-wave DFT calculation with GGA-PBE was carried out for crystalline ZrTcB4 at its relaxed geometry.

Unit cell a=3.1397 b=3.1397 c=6.6175 alpha=90.00 beta=90.00 gamma=120.00
Atoms (fractional coordinates):
1 Zr 0.0000 0.0000 0.0000
2 Tc 0.0000 0.0000 0.5000
3 B 0.3333 0.6667 0.2616
4 B 0.3333 0.6667 0.7384
5 B 0.6667 0.3333 0.2616
6 B 0.6667 0.3333 0.7384

Values from the calculation:
total magnetic moment: 0.002 μB per atom
distance to the lowest polymorph of the same formula: 0.79 eV/f.u.
SG: P6/mmm (191)

Entry 2:
A plane-wave DFT calculation with GGA-PBE was carried out for crystalline Tb2YTc at its relaxed geometry.

Unit cell a=3.9327 b=11.8967 c=9.1743 alpha=90.00 beta=90.00 gamma=90.00
Atoms (fractional coordinates):
1 Tb 0.0000 0.1440 0.0663
2 Tb 0.0000 0.1440 0.4337
3 Tb 0.0000 0.8560 0.5663
4 Tb 0.0000 0.8560 0.9337
5 Tb 0.5000 0.3560 0.5663
6 Tb 0.5000 0.3560 0.9337
7 Tb 0.5000 0.6440 0.0663
8 Tb 0.5000 0.6440 0.4337
9 Y 0.0000 0.4274 0.2500
10 Y 0.0000 0.5726 0.7500
11 Y 0.5000 0.0726 0.7500
12 Y 0.5000 0.9274 0.2500
13 Tc 0.0000 0.2406 0.7500
14 Tc 0.0000 0.7594 0.2500
15 Tc 0.5000 0.2594 0.2500
16 Tc 0.5000 0.7406 0.7500

Values from the calculation:
ΔH_f (0 K): -33 kJ/mol of formula units
total magnetic moment: 0.001 μB per atom
SG: Cmcm (63)

Entry 3:
A plane-wave DFT calculation with GGA-PBE was carried out for crystalline Rb2GdHoO4 at its relaxed geometry.

Unit cell a=3.4825 b=3.4825 c=12.9176 alpha=90.00 beta=90.00 gamma=120.00
Atoms (fractional coordinates):
1 Rb 0.3333 0.6667 0.2494
2 Rb 0.6667 0.3333 0.7506
3 Gd 0.0000 0.0000 0.5000
4 Ho 0.0000 0.0000 0.0000
5 O 0.3333 0.6667 0.5915
6 O 0.3333 0.6667 0.9116
7 O 0.6667 0.3333 0.0884
8 O 0.6667 0.3333 0.4085

Values from the calculation:
raw total energy: -6.554 eV/atom
total magnetic moment: 0.001 μB per atom
SG: P-3m1 (164)

Entry 4:
A plane-wave DFT calculation with GGA-PBE was carried out for crystalline AlAgMo2 at its relaxed geometry.

Unit cell a=6.3448 b=6.3448 c=6.3448 alpha=90.00 beta=90.00 gamma=90.00
Atoms (fractional coordinates):
1 Al 0.0000 0.0000 0.0000
2 Al 0.0000 0.5000 0.5000
3 Al 0.5000 0.0000 0.5000
4 Al 0.5000 0.5000 0.0000
5 Ag 0.2500 0.2500 0.2500
6 Ag 0.2500 0.7500 0.7500
7 Ag 0.7500 0.2500 0.7500
8 Ag 0.7500 0.7500 0.2500
9 Mo 0.0000 0.0000 0.5000
10 Mo 0.0000 0.5000 0.0000
11 Mo 0.2500 0.2500 0.7500
12 Mo 0.2500 0.7500 0.2500
13 Mo 0.5000 0.0000 0.0000
14 Mo 0.5000 0.5000 0.5000
15 Mo 0.7500 0.2500 0.2500
16 Mo 0.7500 0.7500 0.7500

Values from the calculation:
raw total energy: -6.806 eV/atom
total magnetic moment: 0.003 μB per atom
SG: F-43m (216)

Entry 5:
A plane-wave DFT calculation with GGA-PBE was carried out for crystalline SrNdNi2As4 at its relaxed geometry.

Unit cell a=4.5204 b=4.3163 c=16.2187 alpha=90.00 beta=90.00 gamma=90.00
Atoms (fractional coordinates):
1 Sr 0.0000 0.0000 0.0000
2 Sr 0.0000 0.5000 0.5000
3 Nd 0.5000 0.0000 0.7870
4 Nd 0.5000 0.5000 0.2870
5 Ni 0.0000 0.0000 0.2104
6 Ni 0.0000 0.5000 0.7104
7 Ni 0.5000 0.0000 0.5825
8 Ni 0.5000 0.5000 0.0825
9 As 0.0000 0.0000 0.3529
10 As 0.0000 0.0000 0.6451
11 As 0.0000 0.5000 0.1451
12 As 0.0000 0.5000 0.8529
13 As 0.5000 0.0000 0.1468
14 As 0.5000 0.0000 0.4340
15 As 0.5000 0.5000 0.6468
16 As 0.5000 0.5000 0.9340

Values from the calculation:
raw total energy: -5.317 eV/atom
total magnetic moment: 0.000 μB per atom
SG: Amm2 (38)

Entry 6:
A plane-wave DFT calculation with GGA-PBE was carried out for crystalline GdDyAg2Te4 at its relaxed geometry.

Unit cell a=10.0612 b=10.0639 c=4.7356 alpha=90.00 beta=90.00 gamma=90.00
Atoms (fractional coordinates):
1 Gd 0.0000 0.0000 0.0000
2 Gd 0.5000 0.5000 0.0000
3 Dy 0.0000 0.5000 0.3808
4 Dy 0.5000 0.0000 0.3808
5 Ag 0.2500 0.2500 0.1886
6 Ag 0.2500 0.7500 0.1886
7 Ag 0.7500 0.2500 0.1886
8 Ag 0.7500 0.7500 0.1886
9 Te 0.0000 0.2035 0.4823
10 Te 0.0000 0.7965 0.4823
11 Te 0.2008 0.5000 0.8986
12 Te 0.2992 0.0000 0.8986
13 Te 0.5000 0.2965 0.4823
14 Te 0.5000 0.7035 0.4823
15 Te 0.7008 0.0000 0.8986
16 Te 0.7992 0.5000 0.8986

Values from the calculation:
raw total energy: -4.357 eV/atom
total magnetic moment: 0.000 μB per atom
SG: Cmm2 (35)

Entry 7:
A plane-wave DFT calculation with GGA-PBE was carried out for crystalline CsNa2Er2BP2O11 at its relaxed geometry.

Unit cell a=8.0881 b=8.0881 c=10.5684 alpha=90.00 beta=90.00 gamma=129.46
Atoms (fractional coordinates):
1 Cs 0.0188 0.9812 0.7500
2 Cs 0.9812 0.0188 0.2500
3 Na 0.0124 0.4993 0.7500
4 Na 0.4993 0.0124 0.2500
5 Na 0.5007 0.9876 0.7500
6 Na 0.9876 0.5007 0.2500
7 Er 0.3807 0.6193 0.5315
8 Er 0.3807 0.6193 0.9685
9 Er 0.6193 0.3807 0.0315
10 Er 0.6193 0.3807 0.4685
11 B 0.4846 0.5154 0.7500
12 B 0.5154 0.4846 0.2500
13 P 0.1814 0.8186 0.0250
14 P 0.1814 0.8186 0.4750
15 P 0.8186 0.1814 0.5250
16 P 0.8186 0.1814 0.9750
17 O 0.0587 0.3035 0.5505
18 O 0.0587 0.3035 0.9495
19 O 0.2229 0.7771 0.6097
20 O 0.2229 0.7771 0.8903
21 O 0.2666 0.7334 0.1139
22 O 0.2666 0.7334 0.3861
23 O 0.3035 0.0587 0.0505
24 O 0.3035 0.0587 0.4495
25 O 0.3893 0.6107 0.7500
26 O 0.4739 0.5261 0.1334
27 O 0.4739 0.5261 0.3666
28 O 0.5261 0.4739 0.6334
29 O 0.5261 0.4739 0.8666
30 O 0.6107 0.3893 0.2500
31 O 0.6965 0.9413 0.5505
32 O 0.6965 0.9413 0.9495
33 O 0.7334 0.2666 0.6139
34 O 0.7334 0.2666 0.8861
35 O 0.7771 0.2229 0.1097
36 O 0.7771 0.2229 0.3903
37 O 0.9413 0.6965 0.0505
38 O 0.9413 0.6965 0.4495

Values from the calculation:
raw total energy: -7.191 eV/atom
total magnetic moment: 0.000 μB per atom
SG: Cmcm (63)

Entry 8:
A plane-wave DFT calculation with GGA-PBE was carried out for crystalline LiZnBi2 at its relaxed geometry.

Unit cell a=7.4476 b=7.4476 c=7.4476 alpha=90.00 beta=90.00 gamma=90.00
Atoms (fractional coordinates):
1 Li 0.0000 0.0000 0.0000
2 Li 0.0000 0.5000 0.5000
3 Li 0.5000 0.0000 0.5000
4 Li 0.5000 0.5000 0.0000
5 Zn 0.2500 0.2500 0.2500
6 Zn 0.2500 0.7500 0.7500
7 Zn 0.7500 0.2500 0.7500
8 Zn 0.7500 0.7500 0.2500
9 Bi 0.0000 0.0000 0.5000
10 Bi 0.0000 0.5000 0.0000
11 Bi 0.2500 0.2500 0.7500
12 Bi 0.2500 0.7500 0.2500
13 Bi 0.5000 0.0000 0.0000
14 Bi 0.5000 0.5000 0.5000
15 Bi 0.7500 0.2500 0.2500
16 Bi 0.7500 0.7500 0.7500

Values from the calculation:
raw total energy: -2.775 eV/atom
SG: F-43m (216)

Calculated volume, 9.416, 26.827, 16.959, 15.963, 19.778, 29.969, 14.047, 25.819 Å³/atom (same order as the records).